{"formula": "TmReMo", "functional": "PBE", "state": "relaxed", "dft_energy_ev_per_atom": -9.215, "magnetic_moment_mub_per_cell": 0.00, "delta_e_f_ev_per_atom": 0.036, "crystal_system": "tetragonal", "polymorph_energy_mev_per_atom": 182, "lattice": [[3.2168, 0.0000, 0.0000], [0.0000, 3.2168, 0.0000], [-1.6084, -1.6084, 5.3455]], "species": ["Mo", "Re", "Tm"], "frac_coords": [[0.3130, 0.3130, 0.6261], [0.6854, 0.6854, 0.3707], [0.0016, 0.0016, 0.0032]]}

***

{"formula": "TmReMo", "functional": "PBE", "state": "relaxed", "dft_energy_ev_per_atom": -9.022, "magnetic_moment_mub_per_cell": 0.00, "delta_e_f_ev_per_atom": 0.228, "crystal_system": "orthorhombic", "polymorph_energy_mev_per_atom": 375, "lattice": [[-3.6867, 3.2315, 1.4774], [0.0776, -1.1683, -4.9846], [-1.1947, -4.8401, 2.5995]], "species": ["Mo", "Mo", "Re", "Re", "Tm", "Tm"], "frac_coords": [[0.8414, 0.8414, 0.6828], [0.1586, 0.1586, 0.3172], [0.2500, 0.7500, 0.5000], [0.7500, 0.2500, 0.5000], [0.6703, 0.3297, 0.0000], [0.3297, 0.6703, 0.0000]]}

***

{"formula": "Tm2ReMo3", "functional": "PBE", "state": "relaxed", "dft_energy_ev_per_atom": -9.042, "magnetic_moment_mub_per_cell": 0.00, "delta_e_f_ev_per_atom": -0.061, "crystal_system": "monoclinic", "lattice": [[-5.2307, -1.5872, -0.0886], [3.9985, -3.7190, -0.2615], [2.1759, 1.9998, 4.5851]], "species": ["Mo", "Mo", "Mo", "Re", "Tm", "Tm"], "frac_coords": [[0.0000, 0.0000, 0.5000], [0.5000, 0.5000, 0.5000], [0.5000, 0.0000, 0.5000], [0.0000, 0.0000, 0.0000], [0.2515, 0.6257, 0.8772], [0.7485, 0.3743, 0.1228]]}